1.
First-principles (PBE-GGA) data for a geometry-optimized Ta4OsW structure, as listed in Alexandria.

Cell lengths 3.2303, 3.2303, 9.8333 Å; angles 90.00, 90.00, 90.00 degrees
Sites, in units of the cell vectors:
Ta 0.0000 0.0000 0.6631
Ta 0.5000 0.5000 0.1614
Ta 0.0000 0.0000 0.3369
Ta 0.5000 0.5000 0.8386
W 0.5000 0.5000 0.5000
Os 0.0000 0.0000 0.0000

Values from the calculation:
Offset from the most stable computed form   0.00 eV per formula unit
Crystal system   tetragonal
Energy of formation from the pure elements   -0.2286 eV per atom
Calculated volume   17.10 A^3/atom
Theoretical density   17.767 Mg/m³

---

2.
First-principles (PBE-GGA) data for a geometry-optimized TaOs2W structure, as listed in Alexandria.

Cell lengths 3.1279, 4.5810, 4.4045 Å; angles 90.00, 90.00, 90.00 degrees
Sites, in units of the cell vectors:
W 0.0000 0.5000 0.5000
Os 0.0000 0.0000 0.0000
Os 0.5000 0.5000 0.0000
Ta 0.5000 0.0000 0.5000

Values from the calculation:
Offset from the most stable computed form   0.66 eV per formula unit
Crystal system   orthorhombic
Energy of formation from the pure elements   0.1311 eV per atom
Calculated volume   15.78 A^3/atom
Theoretical density   19.608 Mg/m³

---

3.
First-principles (PBE-GGA) data for a geometry-optimized TaOs2W structure, as listed in Alexandria.

Cell lengths 2.8569, 2.8569, 7.7142 Å; angles 90.00, 90.00, 89.99 degrees
Sites, in units of the cell vectors:
Os 0.0000 0.0000 0.5083
Os 0.0000 0.0000 0.9917
W 0.5000 0.5000 0.7500
Ta 0.5000 0.5000 0.2500

Values from the calculation:
Offset from the most stable computed form   0.00 eV per formula unit
Crystal system   tetragonal
Energy of formation from the pure elements   -0.0347 eV per atom
Calculated volume   15.74 A^3/atom
Theoretical density   19.655 Mg/m³

---

- Look up the energy of formation from the pure elements of the third one.
  -0.0347 eV per atom

---

- theoretical density of number 2 (TaOs2W)?
  19.608 Mg/m³

---

- calculated volume of number 2 (TaOs2W)?
  15.78 A^3/atom

---

- The highest theoretical density belongs to which entry?
  number 3